1 | The following is a DFT calculation (PBE) of a relaxed structure of HfZrReHg.

Unit cell a=4.797 b=4.797 c=4.797 alpha=60.00 beta=60.00 gamma=60.00
Atoms (fractional coordinates):
Hf 0.000 0.000 0.000
Zr 0.500 0.500 0.500
Re 0.250 0.250 0.250
Hg 0.750 0.750 0.750


2 | The following is a DFT calculation (PBE) of a relaxed structure of HfZrReHg.

Unit cell a=3.323 b=3.323 c=7.214 alpha=90.00 beta=90.00 gamma=90.00
Atoms (fractional coordinates):
Hf 0.000 0.000 0.000
Zr 0.000 0.000 0.437
Re 0.500 0.500 0.213
Hg 0.500 0.500 0.723


Of them, 1 has the lowest stability.


1 | The following is a DFT calculation (PBE) of a relaxed structure of HfHg2Rh.

Unit cell a=6.188 b=6.188 c=6.188 alpha=101.19 beta=101.19 gamma=127.73
Atoms (fractional coordinates):
Hf 0.000 0.000 0.000
Hf 0.750 0.250 0.500
Hg 0.147 0.625 0.022
Hg 0.375 0.397 0.522
Hg 0.603 0.125 0.978
Hg 0.875 0.853 0.478
Rh 0.250 0.750 0.500
Rh 0.500 0.500 0.000


2 | The following is a DFT calculation (PBE) of a relaxed structure of HfHg2Rh.

Unit cell a=4.732 b=4.732 c=4.732 alpha=60.00 beta=60.00 gamma=60.00
Atoms (fractional coordinates):
Hf 0.000 0.000 0.000
Hg 0.250 0.250 0.250
Hg 0.750 0.750 0.750
Rh 0.500 0.500 0.500


Of them, 1 has the lowest stability.


1 | The following is a DFT calculation (PBE) of a relaxed structure of Hf4HgRh.

Unit cell a=3.261 b=3.261 c=11.515 alpha=90.00 beta=90.00 gamma=90.00
Atoms (fractional coordinates):
Hf 0.000 0.000 0.143
Hf 0.000 0.000 0.857
Hf 0.500 0.500 0.320
Hf 0.500 0.500 0.680
Hg 0.000 0.000 0.500
Rh 0.500 0.500 0.000


2 | The following is a DFT calculation (PBE) of a relaxed structure of Hf4HgRh.

Unit cell a=7.206 b=7.206 c=5.522 alpha=99.08 beta=99.08 gamma=113.59
Atoms (fractional coordinates):
Hf 0.090 0.707 0.943
Hf 0.186 0.372 0.627
Hf 0.293 0.910 0.557
Hf 0.372 0.186 0.127
Hf 0.628 0.814 0.873
Hf 0.707 0.090 0.443
Hf 0.814 0.628 0.373
Hf 0.910 0.293 0.057
Hg 0.393 0.607 0.250
Hg 0.607 0.393 0.750
Rh 0.006 0.994 0.250
Rh 0.994 0.006 0.750


Of them, 2 has the lowest stability.


1 | The following is a DFT calculation (PBE) of a relaxed structure of Hf2Hg2S.

Unit cell a=8.043 b=8.043 c=8.043 alpha=151.40 beta=151.40 gamma=40.89
Atoms (fractional coordinates):
Hf 0.250 0.750 0.500
Hf 0.750 0.250 0.500
Hg 0.095 0.095 0.000
Hg 0.905 0.905 0.000
S 0.500 0.500 0.000


2 | The following is a DFT calculation (PBE) of a relaxed structure of Hf2Hg2S.

Unit cell a=7.590 b=7.590 c=3.796 alpha=90.00 beta=90.00 gamma=90.00
Atoms (fractional coordinates):
Hf 0.168 0.332 0.000
Hf 0.332 0.832 0.000
Hf 0.668 0.168 0.000
Hf 0.832 0.668 0.000
Hg 0.135 0.635 0.500
Hg 0.365 0.135 0.500
Hg 0.635 0.865 0.500
Hg 0.865 0.365 0.500
S 0.000 0.000 0.500
S 0.500 0.500 0.500


3 | The following is a DFT calculation (PBE) of a relaxed structure of Hf2Hg2S.

Unit cell a=6.672 b=6.672 c=4.836 alpha=90.00 beta=90.00 gamma=90.00
Atoms (fractional coordinates):
Hf 0.165 0.335 0.000
Hf 0.335 0.835 0.000
Hf 0.665 0.165 0.000
Hf 0.835 0.665 0.000
Hg 0.156 0.656 0.500
Hg 0.344 0.156 0.500
Hg 0.656 0.844 0.500
Hg 0.844 0.344 0.500
S 0.000 0.000 0.000
S 0.500 0.500 0.000


Of them, 1 has the lowest stability.


1 | The following is a DFT calculation (PBE) of a relaxed structure of HfHg3S.

Unit cell a=5.543 b=5.543 c=5.543 alpha=90.00 beta=90.00 gamma=90.00
Atoms (fractional coordinates):
Hf 0.000 0.000 0.000
Hg 0.000 0.000 0.500
Hg 0.000 0.500 0.000
Hg 0.500 0.000 0.000
S 0.500 0.500 0.500


2 | The following is a DFT calculation (PBE) of a relaxed structure of HfHg3S.

Unit cell a=5.076 b=5.076 c=5.076 alpha=90.00 beta=90.00 gamma=90.00
Atoms (fractional coordinates):
Hf 0.000 0.000 0.000
Hg 0.000 0.500 0.500
Hg 0.500 0.000 0.500
Hg 0.500 0.500 0.000
S 0.500 0.500 0.500


Of them, 2 has the lowest stability.


1 | The following is a DFT calculation (PBE) of a relaxed structure of HfHgSb3.

Unit cell a=5.522 b=5.522 c=5.522 alpha=90.00 beta=90.00 gamma=90.00
Atoms (fractional coordinates):
Hf 0.000 0.000 0.000
Hg 0.500 0.500 0.500
Sb 0.000 0.000 0.500
Sb 0.000 0.500 0.000
Sb 0.500 0.000 0.000


2 | The following is a DFT calculation (PBE) of a relaxed structure of HfHgSb3.

Unit cell a=5.409 b=5.409 c=5.409 alpha=90.00 beta=90.00 gamma=90.00
Atoms (fractional coordinates):
Hf 0.000 0.000 0.000
Hg 0.500 0.500 0.500
Sb 0.000 0.500 0.500
Sb 0.500 0.000 0.500
Sb 0.500 0.500 0.000


Of them, 2 has the lowest stability.